a) A plane-wave DFT calculation with PBE was carried out for a geometry-optimized ThAl3Ni2 structure.

abc: 5.2991 5.2991 4.0971
angles: 90.00 90.00 120.00
Fractional positions:
Th: 0.0000 0.0000 0.0000
Al: 0.0000 0.5000 0.5000
Al: 0.5000 0.0000 0.5000
Al: 0.5000 0.5000 0.5000
Ni: 0.3333 0.6667 0.0000
Ni: 0.6667 0.3333 0.0000

Computed properties:
Its total magnetization is 0.000 Bohr magnetons per cell. The calculation puts the density of states at the Fermi level at 0.31 states/eV per atom. Its density is 7.2 Mg/m³.



b) A plane-wave DFT calculation with PBE was carried out for a geometry-optimized ThAl3Ni2 structure.

abc: 9.1606 9.1606 4.1213
angles: 90.00 90.00 120.00
Fractional positions:
Th: 0.0000 0.0000 0.0000
Th: 0.3333 0.6667 0.5000
Th: 0.6667 0.3333 0.5000
Al: 0.0000 0.2920 0.5000
Al: 0.0000 0.5000 0.0000
Al: 0.0000 0.7080 0.5000
Al: 0.2920 0.0000 0.5000
Al: 0.2920 0.2920 0.5000
Al: 0.5000 0.0000 0.0000
Al: 0.5000 0.5000 0.0000
Al: 0.7080 0.0000 0.5000
Al: 0.7080 0.7080 0.5000
Ni: 0.1842 0.3683 0.0000
Ni: 0.1842 0.8158 0.0000
Ni: 0.3683 0.1842 0.0000
Ni: 0.6317 0.8158 0.0000
Ni: 0.8158 0.1842 0.0000
Ni: 0.8158 0.6317 0.0000

Computed properties:
Its total magnetization is 0.000 Bohr magnetons per cell. The calculation puts the density of states at the Fermi level at 0.66 states/eV per atom. Its density is 7.2 Mg/m³.



Short version: b) is the least stable of them.



a) A plane-wave DFT calculation with PBE was carried out for a geometry-optimized TiAlNi4 structure.

abc: 4.7101 4.7101 4.7101
angles: 60.00 60.00 60.00
Fractional positions:
Ti: 0.0000 0.0000 0.0000
Al: 0.7500 0.7500 0.7500
Ni: 0.3751 0.3751 0.3751
Ni: 0.3751 0.3751 0.8746
Ni: 0.3751 0.8746 0.3751
Ni: 0.8746 0.3751 0.3751

Computed properties:
Its total magnetization is 0.000 Bohr magnetons per cell. The calculation puts the density of states at the Fermi level at 0.90 states/eV per atom. Its density is 7.0 Mg/m³.



b) A plane-wave DFT calculation with PBE was carried out for a geometry-optimized TiAlNi4 structure.

abc: 4.5250 4.5250 5.4085
angles: 107.83 107.83 43.85
Fractional positions:
Ti: 0.0000 0.0000 0.0000
Al: 0.0000 0.0000 0.5000
Ni: 0.3336 0.3336 0.1671
Ni: 0.3361 0.3361 0.6651
Ni: 0.6639 0.6639 0.3349
Ni: 0.6664 0.6664 0.8329

Computed properties:
Its total magnetization is 0.000 Bohr magnetons per cell. The calculation puts the density of states at the Fermi level at 0.65 states/eV per atom. Its density is 7.1 Mg/m³.



Short version: a) is the least stable of them.



a) A plane-wave DFT calculation with PBE was carried out for a geometry-optimized TiAl3Ni structure.

abc: 4.8601 4.8601 4.8601
angles: 90.00 90.00 90.00
Fractional positions:
Ti: 0.0000 0.0000 0.0000
Al: 0.0000 0.0000 0.5000
Al: 0.0000 0.5000 0.0000
Al: 0.5000 0.0000 0.0000
Ni: 0.5000 0.5000 0.5000

Computed properties:
Its total magnetization is 0.254 Bohr magnetons per cell. The calculation puts the density of states at the Fermi level at 0.96 states/eV per atom. Its density is 2.7 Mg/m³.



b) A plane-wave DFT calculation with PBE was carried out for a geometry-optimized TiAl3Ni structure.

abc: 4.4150 4.4150 4.4150
angles: 90.00 90.00 90.00
Fractional positions:
Ti: 0.0000 0.0000 0.0000
Al: 0.0000 0.5000 0.5000
Al: 0.5000 0.0000 0.5000
Al: 0.5000 0.5000 0.0000
Ni: 0.5000 0.5000 0.5000

Computed properties:
Its total magnetization is 0.883 Bohr magnetons per cell. The calculation puts the density of states at the Fermi level at 0.70 states/eV per atom. Its density is 3.6 Mg/m³.



Short version: a) is the least stable of them.



a) A plane-wave DFT calculation with PBE was carried out for a geometry-optimized Ti3AlNi2 structure.

abc: 4.2345 7.3896 5.6424
angles: 90.00 90.00 90.00
Fractional positions:
Ti: 0.0000 0.0526 0.0000
Ti: 0.0000 0.3386 0.3348
Ti: 0.0000 0.6614 0.8348
Ti: 0.0000 0.9474 0.5000
Ti: 0.5000 0.1750 0.6820
Ti: 0.5000 0.8250 0.1820
Al: 0.5000 0.4539 0.0357
Al: 0.5000 0.5461 0.5357
Ni: 0.0000 0.3369 0.7697
Ni: 0.0000 0.6631 0.2697
Ni: 0.5000 0.1557 0.2607
Ni: 0.5000 0.8443 0.7607

Computed properties:
Its total magnetization is 0.000 Bohr magnetons per cell. The calculation puts the density of states at the Fermi level at 0.96 states/eV per atom. Its density is 5.4 Mg/m³.



b) A plane-wave DFT calculation with PBE was carried out for a geometry-optimized Ti3AlNi2 structure.

abc: 6.9723 6.9723 3.0249
angles: 90.00 90.00 143.70
Fractional positions:
Ti: 0.0000 0.0000 0.0000
Ti: 0.3229 0.6771 0.0000
Ti: 0.6771 0.3229 0.0000
Al: 0.5000 0.5000 0.5000
Ni: 0.1471 0.8529 0.5000
Ni: 0.8529 0.1471 0.5000

Computed properties:
Its total magnetization is 0.337 Bohr magnetons per cell. The calculation puts the density of states at the Fermi level at 1.14 states/eV per atom. Its density is 5.5 Mg/m³.



Short version: b) is the least stable of them.